# CsMg2Tl8

A relaxed CsMg2Tl8 crystal (PBE-GGA, Alexandria via LeMat-Bulk).

```
data_CsMg2Tl8
_cell_length_a 4.6871
_cell_length_b 4.6871
_cell_length_c 16.5108
_cell_angle_alpha 90.00
_cell_angle_beta 90.00
_cell_angle_gamma 90.00
_space_group_name_H-M_alt 'P 1'
_space_group_IT_number 1
loop_
_space_group_symop_operation_xyz
'x,y,z'
loop_
_atom_site_label
_atom_site_type_symbol
_atom_site_fract_x
_atom_site_fract_y
_atom_site_fract_z
_atom_site_occupancy
Tl1 Tl 0.5000 0.0000 0.8019 1
Tl2 Tl 0.0000 0.5000 0.5000 1
Tl3 Tl 0.0000 0.5000 0.8019 1
Tl4 Tl 0.5000 0.0000 0.1981 1
Tl5 Tl 0.5000 0.0000 0.5000 1
Tl6 Tl 0.0000 0.5000 0.1981 1
Tl7 Tl 0.5000 0.5000 0.3465 1
Tl8 Tl 0.5000 0.5000 0.6535 1
Cs1 Cs 0.0000 0.0000 0.0000 1
Mg1 Mg 0.0000 0.0000 0.3493 1
Mg2 Mg 0.0000 0.0000 0.6507 1
```

Values from the calculation:
DFT formation energy (meV/atom): -16
D(E_F) (states/eV/atom): 0.4204
Total energy (Ry per atom): -0.155
Symmetry: P4/mmm
Size of the total moment (μB/atom): 0.0000

***

# PaInSi

A relaxed PaInSi crystal (PBE-GGA, Alexandria via LeMat-Bulk).

```
data_PaInSi
_cell_length_a 3.6695
_cell_length_b 4.3289
_cell_length_c 8.7764
_cell_angle_alpha 75.72
_cell_angle_beta 90.00
_cell_angle_gamma 90.00
_space_group_name_H-M_alt 'P 1'
_space_group_IT_number 1
loop_
_space_group_symop_operation_xyz
'x,y,z'
loop_
_atom_site_label
_atom_site_type_symbol
_atom_site_fract_x
_atom_site_fract_y
_atom_site_fract_z
_atom_site_occupancy
Si1 Si 0.7500 0.4556 0.0888 1
Si2 Si 0.2500 0.5444 0.9112 1
Pa1 Pa 0.2500 0.9118 0.1764 1
Pa2 Pa 0.7500 0.0882 0.8236 1
In1 In 0.7500 0.2881 0.4237 1
In2 In 0.2500 0.7119 0.5763 1
```

Values from the calculation:
Formation energy from raw total energies (eV/atom): -0.2263
D(E_F) (states/eV/atom): 1.4273
Total energy (Ry per atom): -0.449
Symmetry: Cmcm
Size of the total moment (μB/atom): 0.0004

***

# LiPr5In3

A relaxed LiPr5In3 crystal (PBE-GGA, Alexandria via LeMat-Bulk).

```
data_LiPr5In3
_cell_length_a 6.8559
_cell_length_b 9.6543
_cell_length_c 9.6543
_cell_angle_alpha 120.00
_cell_angle_beta 90.00
_cell_angle_gamma 90.00
_space_group_name_H-M_alt 'P 1'
_space_group_IT_number 1
loop_
_space_group_symop_operation_xyz
'x,y,z'
loop_
_atom_site_label
_atom_site_type_symbol
_atom_site_fract_x
_atom_site_fract_y
_atom_site_fract_z
_atom_site_occupancy
In1 In 0.7500 0.0000 0.6547 1
In2 In 0.2500 0.0000 0.3453 1
In3 In 0.7500 0.6547 0.0000 1
In4 In 0.7500 0.3452 0.3453 1
In5 In 0.2500 0.6548 0.6547 1
In6 In 0.2500 0.3453 0.0000 1
Pr1 Pr 0.0000 0.3333 0.6667 1
Pr2 Pr 0.2500 0.6865 0.0000 1
Pr3 Pr 0.2500 0.0000 0.6865 1
Pr4 Pr 0.5000 0.3333 0.6667 1
Pr5 Pr 0.7500 0.6865 0.6865 1
Pr6 Pr 0.0000 0.6667 0.3333 1
Pr7 Pr 0.5000 0.6667 0.3333 1
Pr8 Pr 0.2500 0.3135 0.3135 1
Pr9 Pr 0.7500 0.3135 0.0000 1
Pr10 Pr 0.7500 0.0000 0.3135 1
Li1 Li 0.5000 0.0000 0.0000 1
Li2 Li 0.0000 0.0000 0.0000 1
```

Values from the calculation:
DFT formation energy (meV/atom): -324
D(E_F) (states/eV/atom): 1.0170
Total energy (Ry per atom): -0.302
Symmetry: P6_3/mcm
Size of the total moment (μB/atom): 0.0001

***

# NaSc2CdO

A relaxed NaSc2CdO crystal (PBE-GGA, Alexandria via LeMat-Bulk).

```
data_NaSc2CdO
_cell_length_a 4.3623
_cell_length_b 4.3623
_cell_length_c 4.8680
_cell_angle_alpha 90.00
_cell_angle_beta 90.00
_cell_angle_gamma 90.00
_space_group_name_H-M_alt 'P 1'
_space_group_IT_number 1
loop_
_space_group_symop_operation_xyz
'x,y,z'
loop_
_atom_site_label
_atom_site_type_symbol
_atom_site_fract_x
_atom_site_fract_y
_atom_site_fract_z
_atom_site_occupancy
Cd1 Cd 0.5000 0.5000 0.5000 1
Na1 Na 0.0000 0.0000 0.5000 1
Sc1 Sc 0.0000 0.5000 0.0000 1
Sc2 Sc 0.5000 0.0000 0.0000 1
O1 O 0.0000 0.0000 0.0000 1
```

Values from the calculation:
Formation energy from raw total energies (eV/atom): -1.1387
D(E_F) (states/eV/atom): 0.7742
Total energy (Ry per atom): -0.376
Symmetry: P4/mmm
Size of the total moment (μB/atom): 0.0000